(1)
## AcHg2Br (PBE)

Data for an optimized crystal structure of AcHg2Br.

Its crystal system is trigonal. The calculation puts the energy relative to the elements, uncorrected at -181 meV per atom.

It has space group R-3m (No. 166, hexagonal axes), with a = 4.0107 Å, b = 4.0107 Å, c = 32.3886 Å, α = 90.00°, β = 90.00° and γ = 120.00°. The asymmetric unit holds Ac at (0.0000, 0.0000, 0.0000), Hg at (0.0000, 0.0000, 0.1003) and Br at (0.0000, 0.0000, 0.5000).

(2)
## AcHgBr2 (PBE)

Data for an optimized crystal structure of AcHgBr2.

Its crystal system is trigonal. The calculation puts the energy relative to the elements, uncorrected at -1220 meV per atom.

It has space group R-3m (No. 166, hexagonal axes), with a = 4.1692 Å, b = 4.1692 Å, c = 36.3848 Å, α = 90.00°, β = 90.00° and γ = 120.00°. The asymmetric unit holds Ac at (0.0000, 0.0000, 0.0000), Hg at (0.0000, 0.0000, 0.5000) and Br at (0.0000, 0.0000, 0.3895).

(3)
## AcHgBr3 (PBE)

Data for an optimized crystal structure of AcHgBr3.

Its crystal system is cubic. The calculation puts the energy relative to the elements, uncorrected at -1534 meV per atom.

It has space group Pm-3m (No. 221), with a = 6.0764 Å, b = 6.0764 Å, c = 6.0764 Å, α = 90.00°, β = 90.00° and γ = 90.00°. The asymmetric unit holds Ac at (0.0000, 0.0000, 0.0000), Hg at (0.5000, 0.5000, 0.5000) and Br at (0.0000, 0.0000, 0.5000).

| no. | D(E_F) (states/eV/f.u.) | total magnetic moment (μB per cell) |
| --- | --- | --- |
| 1 | 2.417 | 0.000 |
| 2 | 1.914 | 0.193 |
| 3 | 0.000 | 0.000 |